The following is a GGA-PBE calculation of Tm2Al2SnRu5 after structural relaxation, from Alexandria.

a b c (Å): 10.028 10.028 3.378
angles (deg): 90.00 90.00 90.00
Element x y z (fractional)
Tm1 0.173 0.327 0.000
Tm2 0.327 0.827 0.000
Tm3 0.673 0.173 0.000
Tm4 0.827 0.673 0.000
Al1 0.126 0.626 0.000
Al2 0.374 0.126 0.000
Al3 0.626 0.874 0.000
Al4 0.874 0.374 0.000
Sn1 0.000 0.000 0.000
Sn2 0.500 0.500 0.000
Ru1 0.000 0.500 0.500
Ru2 0.066 0.795 0.500
Ru3 0.205 0.066 0.500
Ru4 0.295 0.566 0.500
Ru5 0.434 0.295 0.500
Ru6 0.500 0.000 0.500
Ru7 0.566 0.705 0.500
Ru8 0.705 0.434 0.500
Ru9 0.795 0.934 0.500
Ru10 0.934 0.205 0.500

Properties
DOS(E_F)   23.2 states/eV/cell
Energy of formation   -4.14 eV/f.u.
Total magnetic moment   1.708 μB per cell
SG   No. 127